Compound: TeWOF2
Source: the Alexandria database
Functional: PBE with a Hubbard U
Structure: optimized geometry

As for the symmetry: P4/mmm. The value obtained for the relative energy among the computed polymorphs is 0.000 eV/atom. The total energy is -4.958 eV/atom. As for the crystal system: tetragonal.

Geometry as extended XYZ:
```
5
Lattice="4.4635 0.0000 0.0000 0.0000 4.4635 0.0000 0.0000 0.0000 4.0464" Properties=species:S:1:pos:R:3 pbc="T T T"
W 0.0000 0.0000 0.0000
Te 2.2317 2.2317 2.0232
O 0.0000 0.0000 2.0232
F 0.0000 2.2317 0.0000
F 2.2317 0.0000 0.0000
```